Below is a relaxed LaCuTe2 crystal, with properties calculated at the GGA-PBE level.

CIF file:
```
data_LaCuTe2
_symmetry_space_group_name_H-M 'R -3 m'
_symmetry_Int_Tables_number 166
_symmetry_space_group_name_Hall '-R 3 2"'
_cell_length_a 3.8428
_cell_length_b 3.8428
_cell_length_c 28.3498
_cell_angle_alpha 90.00
_cell_angle_beta 90.00
_cell_angle_gamma 120.00
loop_
_atom_site_label
_atom_site_fract_x
_atom_site_fract_y
_atom_site_fract_z
_atom_site_occupancy
La1 0.0000 0.0000 0.0000 1
Cu1 0.0000 0.0000 0.5000 1
Te1 0.0000 0.0000 0.1116 1
```

Computed properties:
- Formation energy (no corrections): -0.11 eV/atom
- Magnetization: 0.00 μB/f.u.
- Calculated volume: 30.213 A^3/atom